[1]
{"formula": "TlAuSe", "functional": "PBE", "state": "relaxed", "raw_formation_energy_ev_per_atom": -0.0070, "space_group": "I4mm (107)", "lattice": [[6.4679, 0.0117, -0.0137], [4.2731, 4.8554, 0.0137], [-5.3657, -2.4443, 2.6589]], "species": ["Au", "Se", "Tl"], "frac_coords": [[0.9323, 0.9323, 0.0000], [0.4005, 0.4005, 0.0000], [0.6672, 0.6672, 0.0000]]}

[2]
{"formula": "AlSn2Rh", "functional": "PBE", "state": "relaxed", "dft_energy_ha_per_atom": -0.1738, "space_group": "I-42d (122)", "lattice": [[-3.7477, 1.4615, -1.3442], [-1.5718, -3.9380, 0.1005], [-5.3285, 0.0527, 8.2224]], "species": ["Rh", "Rh", "Sn", "Sn", "Sn", "Sn", "Al", "Al"], "frac_coords": [[0.0000, 0.0000, 0.0000], [0.7500, 0.2500, 0.5000], [0.6324, 0.1250, 0.2500], [0.1176, 0.6250, 0.2500], [0.3750, 0.3676, 0.7500], [0.8750, 0.8824, 0.7500], [0.5000, 0.5000, 0.0000], [0.2500, 0.7500, 0.5000]]}